Entry 1:
## HfPtS2I (PBE-GGA)

Data for a relaxed HfPtS2I crystal.

Unit cell a=4.8052 b=4.8052 c=5.7607 alpha=90.00 beta=90.00 gamma=90.00
Atoms (fractional coordinates):
Hf 0.0000 0.0000 0.0000
Pt 0.5000 0.5000 0.0000
S 0.0000 0.5000 0.5000
S 0.5000 0.0000 0.5000
I 0.0000 0.0000 0.5000

Output
- Space-group type: P4/mmm, No. 123
- Magnetic moment: 0.00 μB/f.u.
- Final energy: -3.718 eV/atom
- E_form (uncorrected): 1.4417 eV per atom

=====

Entry 2:
## HfSb2PtI (PBE-GGA)

Data for a relaxed HfSb2PtI crystal.

Unit cell a=5.5366 b=5.5366 c=5.3578 alpha=90.00 beta=90.00 gamma=90.00
Atoms (fractional coordinates):
Hf 0.0000 0.0000 0.0000
Sb 0.0000 0.5000 0.0000
Sb 0.5000 0.0000 0.0000
Pt 0.5000 0.5000 0.5000
I 0.0000 0.0000 0.5000

Output
- Space-group type: P4/mmm, No. 123
- Magnetic moment: 0.00 μB/f.u.
- Final energy: -4.405 eV/atom
- Offset from the most stable computed form: 132.2 meV per atom
- E_form (uncorrected): 0.7524 eV per atom

=====

Entry 3:
## HfSb2PtI (PBE-GGA)

Data for a relaxed HfSb2PtI crystal.

Unit cell a=5.6553 b=5.6553 c=5.1732 alpha=90.00 beta=90.00 gamma=90.00
Atoms (fractional coordinates):
Hf 0.0000 0.0000 0.0000
Sb 0.0000 0.5000 0.5000
Sb 0.5000 0.0000 0.5000
Pt 0.5000 0.5000 0.0000
I 0.0000 0.0000 0.5000

Output
- Space-group type: P4/mmm, No. 123
- Magnetic moment: 0.00 μB/f.u.
- Final energy: -3.523 eV/atom
- Offset from the most stable computed form: 1015.1 meV per atom
- E_form (uncorrected): 1.6353 eV per atom

=====

Entry 4:
## HfSb2PtI (PBE-GGA)

Data for a relaxed HfSb2PtI crystal.

Unit cell a=5.2127 b=5.2127 c=5.3396 alpha=90.00 beta=90.00 gamma=90.00
Atoms (fractional coordinates):
Hf 0.0000 0.0000 0.0000
Sb 0.0000 0.5000 0.5000
Sb 0.5000 0.0000 0.5000
Pt 0.5000 0.5000 0.5000
I 0.5000 0.5000 0.0000

Output
- Space-group type: P4/mmm, No. 123
- Magnetic moment: 0.00 μB/f.u.
- Final energy: -4.538 eV/atom
- Offset from the most stable computed form: 0.0 meV per atom
- E_form (uncorrected): 0.6202 eV per atom

=====

Entry 5:
## Sr2HfPtI (PBE-GGA)

Data for a relaxed Sr2HfPtI crystal.

Unit cell a=5.9584 b=5.9584 c=5.2102 alpha=90.00 beta=90.00 gamma=90.00
Atoms (fractional coordinates):
Sr 0.0000 0.5000 0.0000
Sr 0.5000 0.0000 0.0000
Hf 0.0000 0.0000 0.5000
Pt 0.5000 0.5000 0.5000
I 0.0000 0.0000 0.0000

Output
- Space-group type: P4/mmm, No. 123
- Magnetic moment: 0.00 μB/f.u.
- Final energy: -3.514 eV/atom
- E_form (uncorrected): 0.6674 eV per atom

=====

Entry 6:
## HfTcPt2I (PBE-GGA)

Data for a relaxed HfTcPt2I crystal.

Unit cell a=5.0316 b=5.0316 c=4.9370 alpha=90.00 beta=90.00 gamma=90.00
Atoms (fractional coordinates):
Hf 0.0000 0.0000 0.0000
Tc 0.0000 0.0000 0.5000
Pt 0.0000 0.5000 0.0000
Pt 0.5000 0.0000 0.0000
I 0.5000 0.5000 0.5000

Output
- Space-group type: P4/mmm, No. 123
- Magnetic moment: 2.02 μB/f.u.
- Final energy: -5.677 eV/atom
- E_form (uncorrected): 1.1133 eV per atom

=====

Entry 7:
## HfTe2PtI (PBE-GGA)

Data for a relaxed HfTe2PtI crystal.

Unit cell a=5.5516 b=5.5516 c=5.4663 alpha=90.00 beta=90.00 gamma=90.00
Atoms (fractional coordinates):
Hf 0.0000 0.0000 0.0000
Te 0.0000 0.5000 0.0000
Te 0.5000 0.0000 0.0000
Pt 0.5000 0.5000 0.5000
I 0.0000 0.0000 0.5000

Output
- Space-group type: P4/mmm, No. 123
- Magnetic moment: 0.45 μB/f.u.
- Final energy: -4.239 eV/atom
- Offset from the most stable computed form: 13.3 meV per atom
- E_form (uncorrected): 0.5269 eV per atom

=====

Entry 8:
## HfTe2PtI (PBE-GGA)

Data for a relaxed HfTe2PtI crystal.

Unit cell a=5.2923 b=5.2923 c=5.2629 alpha=90.00 beta=90.00 gamma=90.00
Atoms (fractional coordinates):
Hf 0.0000 0.0000 0.0000
Te 0.0000 0.5000 0.5000
Te 0.5000 0.0000 0.5000
Pt 0.5000 0.5000 0.5000
I 0.5000 0.5000 0.0000

Output
- Space-group type: P4/mmm, No. 123
- Magnetic moment: 0.13 μB/f.u.
- Final energy: -4.252 eV/atom
- Offset from the most stable computed form: 0.0 meV per atom
- E_form (uncorrected): 0.5136 eV per atom

=====

Entry 9:
## HfZrPtI2 (PBE-GGA)

Data for a relaxed HfZrPtI2 crystal.

Unit cell a=5.3663 b=5.3663 c=5.6538 alpha=90.00 beta=90.00 gamma=90.00
Atoms (fractional coordinates):
Hf 0.0000 0.0000 0.0000
Zr 0.0000 0.0000 0.5000
Pt 0.5000 0.5000 0.0000
I 0.0000 0.5000 0.5000
I 0.5000 0.0000 0.5000

Output
- Space-group type: P4/mmm, No. 123
- Magnetic moment: 0.00 μB/f.u.
- Final energy: -4.520 eV/atom
- E_form (uncorrected): 1.0085 eV per atom

=====

Entry 10:
## RbHfI6 (PBE-GGA)

Data for a relaxed RbHfI6 crystal.

Unit cell a=7.5031 b=7.5031 c=9.4629 alpha=117.31 beta=117.31 gamma=62.59
Atoms (fractional coordinates):
Rb 0.0000 0.0000 0.0000
Hf 0.0000 0.0000 0.5000
I 0.1499 0.6409 0.2459
I 0.2200 0.2200 0.4915
I 0.3591 0.8501 0.7541
I 0.6409 0.1499 0.2459
I 0.7800 0.7800 0.5085
I 0.8501 0.3591 0.7541

Output
- Space-group type: C2/m, No. 12
- Magnetic moment: 0.00 μB/f.u.
- Final energy: -3.395 eV/atom
- Offset from the most stable computed form: 0.0 meV per atom
- E_form (uncorrected): -0.8674 eV per atom

=====

Entry 11:
## Rb6HfI12 (PBE-GGA)

Data for a relaxed Rb6HfI12 crystal.

Unit cell a=10.6787 b=10.6787 c=10.6787 alpha=88.20 beta=88.20 gamma=88.20
Atoms (fractional coordinates):
Rb 0.0614 0.5648 0.2140
Rb 0.2140 0.0614 0.5648
Rb 0.4352 0.7860 0.9386
Rb 0.5648 0.2140 0.0614
Rb 0.7860 0.9386 0.4352
Rb 0.9386 0.4352 0.7860
Hf 0.0000 0.0000 0.0000
I 0.0141 0.3352 0.4694
I 0.0741 0.7598 0.9061
I 0.0939 0.9259 0.2402
I 0.2402 0.0939 0.9259
I 0.3352 0.4694 0.0141
I 0.4694 0.0141 0.3352
I 0.5306 0.9859 0.6648
I 0.6648 0.5306 0.9859
I 0.7598 0.9061 0.0741
I 0.9061 0.0741 0.7598
I 0.9259 0.2402 0.0939
I 0.9859 0.6648 0.5306

Output
- Space-group type: R-3, No. 148
- Magnetic moment: 2.07 μB/f.u.
- Final energy: -2.868 eV/atom
- E_form (uncorrected): -1.0592 eV per atom

=====

Entry 12:
## Rb3HfI6 (PBE-GGA)

Data for a relaxed Rb3HfI6 crystal.

Unit cell a=8.9649 b=8.9649 c=8.9649 alpha=60.00 beta=60.00 gamma=60.00
Atoms (fractional coordinates):
Rb 0.0000 0.0000 0.0000
Rb 0.2500 0.2500 0.2500
Rb 0.7500 0.7500 0.7500
Hf 0.5000 0.5000 0.5000
I 0.2724 0.2724 0.7276
I 0.2724 0.7276 0.2724
I 0.2724 0.7276 0.7276
I 0.7276 0.2724 0.2724
I 0.7276 0.2724 0.7276
I 0.7276 0.7276 0.2724

Output
- Space-group type: Fm-3m, No. 225
- Magnetic moment: 1.00 μB/f.u.
- Final energy: -3.332 eV/atom
- E_form (uncorrected): -1.1160 eV per atom